Entry 1:
A geometry-optimized Be3TcH structure. Source: the Alexandria database, functional PBE-GGA.

The structure in extended XYZ format:
```
5
Lattice="3.4288 0.0000 0.0000 0.0000 3.4288 0.0000 0.0000 0.0000 3.4288" Properties=species:S:1:pos:R:3 pbc="T T T"
Be 0.0000 0.0000 1.7144
Be 0.0000 1.7144 0.0000
Be 1.7144 0.0000 0.0000
Tc 1.7144 1.7144 1.7144
H 0.0000 0.0000 0.0000
```

electronic total energy	-5.027	eV per atom
ΔE to the lowest computed polymorph	0	meV/atom
spin magnetization	0.0	μB/f.u.



Entry 2:
A geometry-optimized Be2TcH6 structure. Source: the Alexandria database, functional PBE-GGA.

The structure in extended XYZ format:
```
9
Lattice="0.0000 3.0419 3.0419 3.0419 0.0000 3.0419 3.0419 3.0419 0.0000" Properties=species:S:1:pos:R:3 pbc="T T T"
Be 1.5209 1.5209 1.5209
Be 4.5628 4.5628 4.5628
Tc 0.0000 0.0000 0.0000
H 3.0419 3.0419 1.6942
H 3.0419 1.6942 3.0419
H 4.3896 3.0419 3.0419
H 1.6942 3.0419 3.0419
H 3.0419 4.3896 3.0419
H 3.0419 3.0419 4.3896
```

electronic total energy	-3.889	eV per atom
ΔE to the lowest computed polymorph	217	meV/atom
spin magnetization	0.9	μB/f.u.



Which formula does entry 1 have?
Be3TcH



What is the spin magnetization in the first record?
0.0 μB/f.u.



ΔE to the lowest computed polymorph of number 1 (Be3TcH)?
0 meV/atom



Which of these has the lowest ΔE to the lowest computed polymorph?
Be3TcH